24
Lattice="-4.678 -2.259 0.298 1.213 -1.513 7.080 -2.446 5.276 1.552" Properties=species:S:1:pos:R:3 comment="PBE+U Li2VO2F, optimized geometry" de_polymorph_ev_per_atom=0.085 spacegroup=P1 m_tot_mub_per_fu=2.0 pbc="T T T"
Li -2.032 -2.763 6.212
Li -3.846 4.269 2.764
Li -2.465 1.748 1.838
Li -3.421 -0.217 7.034
Li -4.471 -0.759 1.595
Li -5.644 1.772 2.339
Li -0.354 -0.240 6.514
Li -1.494 2.219 7.237
V -2.295 -0.596 4.120
V -3.546 2.103 4.914
V -4.044 -3.006 3.850
V -0.668 1.848 4.351
O -3.164 3.549 6.300
O -2.641 -2.018 2.710
O -2.057 0.869 5.486
O -4.686 -1.128 8.137
O -3.725 -1.504 5.214
O -4.921 1.076 5.972
O -0.978 0.408 2.946
O -2.196 3.034 3.718
F -7.116 3.018 1.859
F -3.934 0.620 3.371
F -2.933 0.139 0.557
F -4.194 2.857 1.357